This record from Alexandria via LeMat-Bulk describes crystalline Tb4ZrTl5 at its relaxed geometry. The functional is GGA-PBE.

abc: 3.6014 3.6014 20.4626
angles: 90.00 90.00 90.00
Fractional coordinates of all 10 atoms:
1 Tb 0.0000 0.0000 0.1027
2 Tb 0.0000 0.0000 0.3067
3 Tb 0.0000 0.0000 0.6933
4 Tb 0.0000 0.0000 0.8973
5 Zr 0.0000 0.0000 0.5000
6 Tl 0.5000 0.5000 0.0000
7 Tl 0.5000 0.5000 0.2043
8 Tl 0.5000 0.5000 0.4074
9 Tl 0.5000 0.5000 0.5926
10 Tl 0.5000 0.5000 0.7957

* formation energy from the elements: -269 kJ/mol of formula units